CaAgAs3, relaxed, DFT PBEsol; formation energy = 198 meV per atom; symmetry = Pm-3m, No. 221; magnetic moment = 0.00 μB/f.u.; volume = 123.3 Å³ per cell
1.0
4.977 0.000 0.000
0.000 4.977 0.000
0.000 0.000 4.977
Ca Ag As
1 1 3
Cartesian
0.000 0.000 0.000
2.489 2.489 2.489
0.000 2.489 2.489
2.489 0.000 2.489
2.489 2.489 0.000